1.
Below is a relaxed structure of Na5Fe2P2C2O14, with properties calculated at the GGA+U level.

Cell lengths 8.487, 8.444, 9.014 Å; angles 89.70, 91.91, 102.87 degrees
Site moments in Bohr magnetons follow the coordinates.
Atoms (fractional coordinates):
Na 0.762 0.492 0.081  0.00
Na 0.238 0.971 0.083  0.00
Na 0.872 0.860 0.264  0.00
Na 0.600 0.120 0.273  0.00
Na 0.380 0.389 0.261  0.00
Na 0.400 0.880 0.727  0.00
Na 0.620 0.611 0.739  0.00
Na 0.128 0.140 0.736  0.00
Na 0.238 0.508 0.919  0.00
Na 0.762 0.029 0.917  0.00
Fe 0.979 0.240 0.357  4.35
Fe 0.480 0.738 0.339  3.78
Fe 0.021 0.760 0.643  4.35
Fe 0.520 0.262 0.661  3.78
P 0.765 0.519 0.420  0.01
P 0.263 0.022 0.419  0.01
P 0.737 0.978 0.581  0.01
P 0.235 0.481 0.580  0.01
C 0.521 0.769 0.051  0.00
C 0.015 0.254 0.078  0.00
C 0.985 0.746 0.922  0.00
C 0.479 0.231 0.949  0.00
O 0.959 0.745 0.060  0.02
O 0.454 0.218 0.090  0.00
O 0.408 0.656 0.104  0.02
O 0.891 0.154 0.136  0.07
O 0.610 0.873 0.144  0.02
O 0.108 0.353 0.173  0.08
O 0.826 0.388 0.329  0.08
O 0.330 0.904 0.321  0.03
O 0.652 0.586 0.307  0.03
O 0.119 0.068 0.329  0.06
O 0.318 0.552 0.440  0.02
O 0.800 0.059 0.431  0.07
O 0.910 0.665 0.462  0.10
O 0.398 0.175 0.453  0.03
O 0.602 0.825 0.547  0.03
O 0.090 0.335 0.538  0.10
O 0.200 0.941 0.569  0.07
O 0.682 0.448 0.560  0.02
O 0.881 0.932 0.671  0.06
O 0.174 0.612 0.671  0.08
O 0.348 0.414 0.693  0.03
O 0.670 0.096 0.679  0.03
O 0.892 0.647 0.827  0.08
O 0.390 0.127 0.856  0.02
O 0.592 0.344 0.896  0.02
O 0.109 0.846 0.864  0.07
O 0.546 0.782 0.910  0.00
O 0.041 0.255 0.940  0.02

## Properties
The value obtained for the polymorph energy (0 for the lowest one) is 3 meV per atom. As for the symmetry: No. 2.


2.
Below is a relaxed structure of Na5Fe2P2C2O14, with properties calculated at the GGA+U level.

Cell lengths 10.347, 10.602, 6.617 Å; angles 90.00, 90.00, 60.57 degrees
Site moments in Bohr magnetons follow the coordinates.
Atoms (fractional coordinates):
Na 0.908 0.429 0.757  0.00
Na 0.929 0.915 0.753  0.00
Na 0.729 0.267 0.525  0.00
Na 0.735 0.752 0.997  0.00
Na 0.736 0.754 0.501  0.00
Na 0.265 0.248 0.497  0.00
Na 0.264 0.246 0.001  0.00
Na 0.271 0.733 0.025  0.00
Na 0.071 0.085 0.253  0.00
Na 0.092 0.571 0.257  0.00
Fe 0.650 0.071 0.241  4.35
Fe 0.654 0.554 0.246  3.78
Fe 0.346 0.446 0.746  3.78
Fe 0.350 0.929 0.741  4.35
P 0.580 0.061 0.748  0.01
P 0.580 0.574 0.746  0.01
P 0.420 0.426 0.246  0.01
P 0.420 0.939 0.248  0.01
C 0.945 0.393 0.258  0.00
C 0.928 0.893 0.245  0.00
C 0.072 0.107 0.745  0.00
C 0.055 0.607 0.758  0.00
O 0.935 0.193 0.729  0.02
O 0.912 0.690 0.750  0.00
O 0.871 0.034 0.255  0.08
O 0.887 0.534 0.245  0.02
O 0.858 0.338 0.279  0.02
O 0.829 0.849 0.250  0.07
O 0.680 0.035 0.937  0.08
O 0.679 0.044 0.561  0.06
O 0.677 0.560 0.933  0.03
O 0.675 0.569 0.561  0.03
O 0.569 0.278 0.259  0.10
O 0.563 0.794 0.250  0.02
O 0.544 0.450 0.732  0.03
O 0.541 0.934 0.742  0.08
O 0.459 0.066 0.242  0.08
O 0.456 0.550 0.232  0.03
O 0.437 0.206 0.750  0.02
O 0.431 0.722 0.759  0.10
O 0.323 0.440 0.433  0.03
O 0.325 0.431 0.061  0.03
O 0.321 0.956 0.061  0.06
O 0.320 0.965 0.437  0.08
O 0.171 0.151 0.750  0.07
O 0.142 0.662 0.779  0.02
O 0.113 0.466 0.745  0.02
O 0.129 0.966 0.755  0.08
O 0.088 0.310 0.250  0.00
O 0.065 0.807 0.229  0.02

## Properties
The value obtained for the polymorph energy (0 for the lowest one) is 6 meV per atom. As for the symmetry: No. 4.


3.
Below is a relaxed structure of Na2FePCO7, with properties calculated at the GGA+U level.

Cell lengths 5.306, 6.551, 8.916 Å; angles 87.42, 88.35, 89.39 degrees
Site moments in Bohr magnetons follow the coordinates.
Atoms (fractional coordinates):
Na 0.222 0.289 0.916  0.00
Na 0.778 0.711 0.084  0.00
Na 0.747 0.015 0.735  0.00
Na 0.253 0.985 0.265  0.00
Fe 0.222 0.736 0.655  4.36
Fe 0.778 0.264 0.345  4.36
P 0.275 0.242 0.573  0.02
P 0.725 0.758 0.427  0.02
C 0.294 0.757 0.932  0.00
C 0.706 0.243 0.068  0.00
O 0.667 0.218 0.931  0.02
O 0.333 0.782 0.069  0.02
O 0.067 0.735 0.880  0.07
O 0.933 0.265 0.120  0.07
O 0.478 0.746 0.831  0.08
O 0.522 0.254 0.169  0.08
O 0.208 0.058 0.684  0.07
O 0.792 0.942 0.316  0.07
O 0.227 0.434 0.665  0.08
O 0.773 0.566 0.335  0.08
O 0.884 0.761 0.568  0.08
O 0.116 0.239 0.432  0.08
O 0.559 0.225 0.526  0.09
O 0.441 0.775 0.474  0.09

## Properties
The value obtained for the polymorph energy (0 for the lowest one) is 8 meV per atom. As for the symmetry: No. 2.


4.
Below is a relaxed structure of Na2FePCO7, with properties calculated at the GGA+U level.

Cell lengths 6.582, 5.283, 9.046 Å; angles 88.30, 90.00, 90.00 degrees
Site moments in Bohr magnetons follow the coordinates.
Atoms (fractional coordinates):
Na 0.496 0.764 0.776  0.00
Na 0.004 0.764 0.776  0.00
Na 0.504 0.236 0.224  0.00
Na 0.996 0.236 0.224  0.00
Fe 0.750 0.213 0.641  4.34
Fe 0.250 0.787 0.359  4.34
P 0.250 0.279 0.572  0.02
P 0.750 0.721 0.428  0.02
C 0.750 0.273 0.917  0.00
C 0.250 0.727 0.083  0.00
O 0.250 0.689 0.947  0.02
O 0.750 0.048 0.859  0.10
O 0.750 0.459 0.815  0.10
O 0.059 0.198 0.661  0.07
O 0.441 0.198 0.661  0.07
O 0.750 0.848 0.581  0.07
O 0.250 0.575 0.545  0.08
O 0.750 0.425 0.455  0.08
O 0.250 0.152 0.419  0.07
O 0.559 0.802 0.339  0.07
O 0.941 0.802 0.339  0.07
O 0.250 0.541 0.185  0.10
O 0.250 0.952 0.141  0.10
O 0.750 0.311 0.053  0.02

## Properties
The value obtained for the polymorph energy (0 for the lowest one) is 0 meV per atom. As for the symmetry: No. 11.


- polymorph energy (0 for the lowest one) of number 3 (Na2FePCO7)?
  8 meV per atom


- Look up the polymorph energy (0 for the lowest one) of the third one.
  8 meV per atom


- polymorph energy (0 for the lowest one) of number 4 (Na2FePCO7)?
  0 meV per atom


- What is the polymorph energy (0 for the lowest one) in the first record?
  3 meV per atom